1.
The following is a DFT calculation (PBE) of crystalline Ba2CuP at its relaxed geometry.

Lattice parameters (Å, degrees): 8.293 8.293 8.293 32.96 32.96 32.96
Sites, in units of the cell vectors:
Ba 0.011 0.011 0.011
Ba 0.489 0.489 0.489
P 0.750 0.750 0.750
Cu 0.250 0.250 0.250

Total DFT energy (no corrections) ... -3.816 eV per atom
Total magnetic moment ... 0.000 μB/atom
ΔE_f ... -1.91 eV per formula unit

***

2.
The following is a DFT calculation (PBE) of crystalline BaCu2P4 at its relaxed geometry.

Lattice parameters (Å, degrees): 10.848 9.944 5.815 82.53 65.36 32.11
Sites, in units of the cell vectors:
P 0.454 0.939 0.427
Ba 0.750 0.750 0.750
Cu 0.122 0.122 0.878
P 0.069 0.823 0.311
P 0.939 0.454 0.181
Ba 0.500 0.500 0.500
Cu 0.128 0.128 0.372
P 0.796 0.311 0.823
Cu 0.372 0.372 0.128
P 0.427 0.181 0.454
P 0.823 0.069 0.796
P 0.311 0.796 0.069
Cu 0.878 0.878 0.122
P 0.181 0.427 0.939

Total DFT energy (no corrections) ... -5.004 eV per atom
Total magnetic moment ... 0.000 μB/atom
ΔE_f ... -3.28 eV per formula unit

***

3.
The following is a DFT calculation (PBE) of crystalline BaPaCuP3 at its relaxed geometry.

Lattice parameters (Å, degrees): 4.131 6.967 10.601 90.00 90.00 107.24
Sites, in units of the cell vectors:
Pa 0.000 0.000 0.000
Cu 0.537 0.074 0.250
Pa 0.000 0.000 0.500
Cu 0.463 0.926 0.750
P 0.629 0.257 0.060
Ba 0.258 0.516 0.250
Ba 0.742 0.484 0.750
P 0.371 0.743 0.940
P 0.629 0.257 0.440
P 0.371 0.743 0.560
P 0.950 0.900 0.250
P 0.050 0.100 0.750

Total DFT energy (no corrections) ... -6.142 eV per atom
Total magnetic moment ... 0.000 μB/atom
ΔE_f ... -5.11 eV per formula unit

***

4.
The following is a DFT calculation (PBE) of crystalline BaCuP6Pd2 at its relaxed geometry.

Lattice parameters (Å, degrees): 6.070 6.070 8.674 69.52 69.52 60.00
Sites, in units of the cell vectors:
P 0.539 0.175 0.746
P 0.461 0.825 0.254
Pd 0.266 0.266 0.202
Ba 0.000 0.000 0.000
P 0.539 0.539 0.746
Cu 0.500 0.500 0.500
P 0.825 0.461 0.254
P 0.175 0.539 0.746
P 0.461 0.461 0.254
Pd 0.734 0.734 0.798

Total DFT energy (no corrections) ... -5.046 eV per atom
Total magnetic moment ... 0.000 μB/atom
ΔE_f ... -1.60 eV per formula unit

***

5.
The following is a DFT calculation (PBE) of crystalline BaPrCu2P2 at its relaxed geometry.

Lattice parameters (Å, degrees): 4.086 4.086 8.922 90.00 90.00 120.00
Sites, in units of the cell vectors:
Cu 0.333 0.667 0.726
P 0.333 0.667 0.275
P 0.667 0.333 0.725
Ba 0.000 0.000 0.000
Pr 0.000 0.000 0.500
Cu 0.667 0.333 0.274

Total DFT energy (no corrections) ... -5.136 eV per atom
Total magnetic moment ... 0.000 μB/atom
ΔE_f ... -5.10 eV per formula unit

***

6.
The following is a DFT calculation (PBE) of crystalline BaCuPPt at its relaxed geometry.

Lattice parameters (Å, degrees): 4.340 4.437 5.669 113.04 112.51 90.00
Sites, in units of the cell vectors:
Cu 0.622 0.622 0.245
Ba 0.965 0.965 0.929
P 0.221 0.721 0.441
Pt 0.308 0.308 0.616

Total DFT energy (no corrections) ... -4.985 eV per atom
Total magnetic moment ... 0.000 μB/atom
ΔE_f ... -2.47 eV per formula unit

***

7.
The following is a DFT calculation (PBE) of crystalline Ba2CuPPt at its relaxed geometry.

Lattice parameters (Å, degrees): 6.214 4.402 6.214 90.00 90.00 90.00
Sites, in units of the cell vectors:
Cu 0.500 0.500 0.500
P 0.000 0.000 0.000
Pt 0.000 0.500 0.000
Ba 0.000 0.000 0.500
Ba 0.500 0.000 0.000

Total DFT energy (no corrections) ... -4.297 eV per atom
Total magnetic moment ... 0.000 μB/atom
ΔE_f ... -2.09 eV per formula unit

***

8.
The following is a DFT calculation (PBE) of crystalline Ba2CuP3Pt12 at its relaxed geometry.

Lattice parameters (Å, degrees): 7.850 7.850 7.850 64.19 64.19 64.19
Sites, in units of the cell vectors:
P 0.000 0.500 0.000
Pt 0.664 0.664 0.091
Pt 0.091 0.664 0.664
Pt 0.111 0.640 0.111
Pt 0.336 0.909 0.336
P 0.000 0.000 0.500
Pt 0.111 0.111 0.640
Pt 0.336 0.336 0.909
Pt 0.889 0.360 0.889
P 0.500 0.000 0.000
Pt 0.909 0.336 0.336
Pt 0.889 0.889 0.360
Pt 0.664 0.091 0.664
Pt 0.360 0.889 0.889
Pt 0.640 0.111 0.111
Cu 0.000 0.000 0.000
Ba 0.384 0.384 0.384
Ba 0.616 0.616 0.616

Total DFT energy (no corrections) ... -5.689 eV per atom
Total magnetic moment ... 0.000 μB/atom
ΔE_f ... -5.74 eV per formula unit

***

9.
The following is a DFT calculation (PBE) of crystalline BaPuCuP2 at its relaxed geometry.

Lattice parameters (Å, degrees): 4.353 4.353 7.299 107.35 107.35 90.00
Sites, in units of the cell vectors:
Cu 0.250 0.750 0.500
P 0.637 0.637 0.273
P 0.363 0.363 0.727
Pu 0.750 0.250 0.500
Ba 0.000 0.000 0.000

Total DFT energy (no corrections) ... -6.894 eV per atom
Total magnetic moment ... 1.000 μB/atom
ΔE_f ... -3.30 eV per formula unit

***

10.
The following is a DFT calculation (PBE) of crystalline BaCu2PS4 at its relaxed geometry.

Lattice parameters (Å, degrees): 6.080 6.293 6.293 81.52 61.11 61.11
Sites, in units of the cell vectors:
Ba 0.000 0.000 0.000
S 0.625 0.508 0.833
P 0.000 0.500 0.500
Cu 0.500 0.339 0.661
S 0.375 0.167 0.492
S 0.966 0.492 0.167
Cu 0.500 0.661 0.339
S 0.034 0.833 0.508

Total DFT energy (no corrections) ... -4.586 eV per atom
Total magnetic moment ... 0.000 μB/atom

***

11.
The following is a DFT calculation (PBE) of crystalline BaCuP2S at its relaxed geometry.

Lattice parameters (Å, degrees): 4.610 4.610 5.101 90.00 90.00 90.00
Sites, in units of the cell vectors:
P 0.000 0.500 0.000
Ba 0.500 0.500 0.500
P 0.500 0.000 0.000
Cu 0.000 0.000 0.000
S 0.000 0.000 0.500

Total DFT energy (no corrections) ... -4.384 eV per atom
Total magnetic moment ... 0.000 μB/atom

***

12.
The following is a DFT calculation (PBE) of crystalline BaCuPS2 at its relaxed geometry.

Lattice parameters (Å, degrees): 4.977 4.977 4.406 90.00 90.00 90.00
Sites, in units of the cell vectors:
Ba 0.500 0.500 0.500
P 0.000 0.000 0.500
S 0.500 0.000 0.000
Cu 0.000 0.000 0.000
S 0.000 0.500 0.000

Total DFT energy (no corrections) ... -4.384 eV per atom
Total magnetic moment ... 0.000 μB/atom